Material: Y2TiAl2Ir5
Method: DFT, PBE
State: optimized geometry

ρ in Mg/m³: 12.14
Calculated total energy in eV per atom: -8.085
Energy of formation in eV/atom: -0.823

Lattice parameters (Å, degrees): 3.477 9.880 9.880 90.00 90.00 90.00
Positions (direct):
1 Y 0.000 0.674 0.174
2 Y 0.000 0.326 0.826
3 Y 0.000 0.174 0.326
4 Y 0.000 0.826 0.674
5 Ti 0.000 0.000 0.000
6 Ti 0.000 0.500 0.500
7 Al 0.000 0.125 0.625
8 Al 0.000 0.875 0.375
9 Al 0.000 0.625 0.875
10 Al 0.000 0.375 0.125
11 Ir 0.500 0.203 0.065
12 Ir 0.500 0.797 0.935
13 Ir 0.500 0.065 0.797
14 Ir 0.500 0.703 0.435
15 Ir 0.500 0.935 0.203
16 Ir 0.500 0.297 0.565
17 Ir 0.500 0.565 0.703
18 Ir 0.500 0.435 0.297
19 Ir 0.500 0.500 0.000
20 Ir 0.500 0.000 0.500

Material: ZrTiAlIr
Method: DFT, PBE
State: optimized geometry

ρ in Mg/m³: 8.87
Calculated total energy in eV per atom: -7.843
Energy of formation in eV/atom: -0.581

Lattice parameters (Å, degrees): 4.561 4.561 4.561 60.00 60.00 60.00
Positions (direct):
1 Ir 0.750 0.750 0.750
2 Al 0.000 0.000 0.000
3 Zr 0.500 0.500 0.500
4 Ti 0.250 0.250 0.250

Material: Zr2Ti2AlIr5
Method: DFT, PBE
State: optimized geometry

ρ in Mg/m³: 12.66
Calculated total energy in eV per atom: -8.702
Energy of formation in eV/atom: -0.609

Lattice parameters (Å, degrees): 3.704 9.471 9.471 90.00 90.00 90.00
Positions (direct):
1 Zr 0.000 0.676 0.176
2 Zr 0.000 0.324 0.824
3 Zr 0.000 0.176 0.324
4 Zr 0.000 0.824 0.676
5 Ti 0.000 0.124 0.624
6 Ti 0.000 0.876 0.376
7 Ti 0.000 0.624 0.876
8 Ti 0.000 0.376 0.124
9 Al 0.000 0.000 0.000
10 Al 0.000 0.500 0.500
11 Ir 0.500 0.202 0.062
12 Ir 0.500 0.798 0.938
13 Ir 0.500 0.062 0.798
14 Ir 0.500 0.702 0.438
15 Ir 0.500 0.938 0.202
16 Ir 0.500 0.298 0.562
17 Ir 0.500 0.562 0.702
18 Ir 0.500 0.438 0.298
19 Ir 0.500 0.500 0.000
20 Ir 0.500 0.000 0.500